1.
Material: BeCr2Br
Method: DFT, PBE
State: relaxed Values from VASP.

Energy relative to the elements, uncorrected   846 meV per atom
Density   6.019 g/cm³
Distance to the lowest polymorph of the same formula   0.4673 eV per atom
Total moment   1.099 μB/atom
Electronic total energy   -21.26 eV per formula unit
V   53.22 Å³/cell

Cell and atoms, written as Quantum ESPRESSO input:
```
&SYSTEM
  ibrav = 0, nat = 4, ntyp = 3
/
ATOMIC_SPECIES
Be 9.01 Be.upf
Cr 52.00 Cr.upf
Br 79.90 Br.upf
CELL_PARAMETERS angstrom
2.983 -3.023 0.000
2.983 3.023 0.000
0.000 0.000 2.951
ATOMIC_POSITIONS crystal
Be 0.000 0.000 0.000
Cr 0.000 0.500 0.500
Cr 0.500 0.000 0.500
Br 0.500 0.500 0.000
```


2.
Material: KIr4Pb
Method: DFT, PBE
State: relaxed Values from VASP.

Energy of formation from the pure elements   0.488 eV/atom
Density   14.937 g/cm³
Total moment   0.253 μB/atom
Electronic total energy   -37.32 eV per formula unit
V   112.86 Å³/cell

Cell and atoms, written as Quantum ESPRESSO input:
```
&SYSTEM
  ibrav = 0, nat = 6, ntyp = 3
/
ATOMIC_SPECIES
K 39.10 K.upf
Ir 192.22 Ir.upf
Pb 207.20 Pb.upf
CELL_PARAMETERS angstrom
0.000 3.836 3.836
3.836 0.000 3.836
3.836 3.836 0.000
ATOMIC_POSITIONS crystal
K 0.000 0.000 0.000
Ir 0.375 0.375 0.375
Ir 0.375 0.375 0.875
Ir 0.375 0.875 0.375
Ir 0.875 0.375 0.375
Pb 0.750 0.750 0.750
```


3.
Material: Ca4Ta3
Method: DFT, PBE
State: relaxed Values from VASP.

Energy of formation from the pure elements   0.620 eV/atom
Density   6.117 g/cm³
Total moment   0.098 μB/atom
Electronic total energy   -39.23 eV per formula unit
V   190.89 Å³/cell

Cell and atoms, written as Quantum ESPRESSO input:
```
&SYSTEM
  ibrav = 0, nat = 7, ntyp = 2
/
ATOMIC_SPECIES
Ca 40.08 Ca.upf
Ta 180.95 Ta.upf
CELL_PARAMETERS angstrom
5.817 0.000 0.000
-2.909 5.038 0.000
0.000 0.000 6.514
ATOMIC_POSITIONS crystal
Ca 0.000 0.000 0.242
Ca 0.000 0.000 0.758
Ca 0.333 0.667 0.500
Ca 0.667 0.333 0.500
Ta 0.000 0.500 0.000
Ta 0.500 0.000 0.000
Ta 0.500 0.500 0.000
```


4.
Material: NaPb2Br5
Method: DFT, PBE
State: relaxed Values from VASP.

Energy relative to the elements, uncorrected   -1058 meV per atom
Density   5.023 g/cm³
Total moment   0.000 μB/atom
Electronic total energy   -25.56 eV per formula unit
V   1106.65 Å³/cell

Cell and atoms, written as Quantum ESPRESSO input:
```
&SYSTEM
  ibrav = 0, nat = 32, ntyp = 3
/
ATOMIC_SPECIES
Na 22.99 Na.upf
Pb 207.20 Pb.upf
Br 79.90 Br.upf
CELL_PARAMETERS angstrom
9.837 0.000 0.000
0.000 7.806 0.000
-2.517 0.000 14.412
ATOMIC_POSITIONS crystal
Na 0.000 0.000 0.000
Na 0.000 0.500 0.500
Na 0.500 0.000 0.000
Na 0.500 0.500 0.500
Pb 0.160 0.061 0.390
Pb 0.160 0.439 0.890
Pb 0.326 0.021 0.710
Pb 0.326 0.479 0.210
Pb 0.674 0.521 0.790
Pb 0.674 0.979 0.290
Pb 0.840 0.561 0.110
Pb 0.840 0.939 0.610
Br 0.061 0.118 0.769
Br 0.061 0.382 0.269
Br 0.128 0.672 0.056
Br 0.128 0.828 0.556
Br 0.250 0.194 0.051
Br 0.250 0.306 0.551
Br 0.347 0.742 0.356
Br 0.347 0.758 0.856
Br 0.446 0.221 0.355
Br 0.446 0.279 0.855
Br 0.554 0.721 0.145
Br 0.554 0.779 0.645
Br 0.653 0.242 0.144
Br 0.653 0.258 0.644
Br 0.750 0.694 0.449
Br 0.750 0.806 0.949
Br 0.872 0.172 0.444
Br 0.872 0.328 0.944
Br 0.939 0.618 0.731
Br 0.939 0.882 0.231
```


5.
Material: CeTm2Tl3
Method: DFT, PBE
State: relaxed Values from VASP.

Energy of formation from the pure elements   -0.278 eV/atom
Density   11.059 g/cm³
Total moment   0.264 μB/atom
Electronic total energy   -23.64 eV per formula unit
V   163.84 Å³/cell

Cell and atoms, written as Quantum ESPRESSO input:
```
&SYSTEM
  ibrav = 0, nat = 6, ntyp = 3
/
ATOMIC_SPECIES
Ce 140.12 Ce.upf
Tm 168.93 Tm.upf
Tl 204.38 Tl.upf
CELL_PARAMETERS angstrom
3.588 0.000 0.000
0.000 3.588 0.000
0.000 0.000 12.728
ATOMIC_POSITIONS crystal
Ce 0.000 0.000 0.000
Tm 0.000 0.000 0.338
Tm 0.000 0.000 0.662
Tl 0.500 0.500 0.176
Tl 0.500 0.500 0.500
Tl 0.500 0.500 0.824
```


6.
Material: Fe2SiSe
Method: DFT, PBE
State: relaxed Values from VASP.

Energy relative to the elements, uncorrected   191 meV per atom
Density   6.268 g/cm³
Distance to the lowest polymorph of the same formula   0.2287 eV per atom
Total moment   1.079 μB/atom
Electronic total energy   -25.07 eV per formula unit
V   57.95 Å³/cell

Cell and atoms, written as Quantum ESPRESSO input:
```
&SYSTEM
  ibrav = 0, nat = 4, ntyp = 3
/
ATOMIC_SPECIES
Fe 55.84 Fe.upf
Si 28.09 Si.upf
Se 78.96 Se.upf
CELL_PARAMETERS angstrom
1.524 0.880 7.198
-1.524 0.880 7.198
0.000 -1.760 7.198
ATOMIC_POSITIONS crystal
Fe 0.000 0.000 0.000
Fe 0.250 0.250 0.250
Si 0.739 0.739 0.739
Se 0.507 0.507 0.507
```


7.
Material: MgBRuWSe
Method: DFT, PBE
State: relaxed Values from VASP.

Energy relative to the elements, uncorrected   32 meV per atom
Density   7.901 g/cm³
Distance to the lowest polymorph of the same formula   0.2529 eV per atom
Total moment   0.000 μB/atom
Electronic total energy   -33.83 eV per formula unit
V   83.86 Å³/cell

Cell and atoms, written as Quantum ESPRESSO input:
```
&SYSTEM
  ibrav = 0, nat = 5, ntyp = 5
/
ATOMIC_SPECIES
Mg 24.30 Mg.upf
B 10.81 B.upf
Ru 101.07 Ru.upf
W 183.84 W.upf
Se 78.96 Se.upf
CELL_PARAMETERS angstrom
4.366 0.000 0.000
0.000 3.294 0.000
-0.819 0.000 5.830
ATOMIC_POSITIONS crystal
Mg 0.000 0.000 0.000
B 0.879 0.500 0.263
Ru 0.915 0.000 0.485
W 0.400 0.500 0.358
Se 0.451 0.000 0.694
```


8.
Material: TlAgSb
Method: DFT, PBE
State: relaxed Values from VASP.

Energy relative to the elements, uncorrected   119 meV per atom
Density   8.758 g/cm³
Distance to the lowest polymorph of the same formula   0.0946 eV per atom
Total moment   0.000 μB/atom
Electronic total energy   -8.98 eV per formula unit
V   82.29 Å³/cell

Cell and atoms, written as Quantum ESPRESSO input:
```
&SYSTEM
  ibrav = 0, nat = 3, ntyp = 3
/
ATOMIC_SPECIES
Tl 204.38 Tl.upf
Ag 107.87 Ag.upf
Sb 121.76 Sb.upf
CELL_PARAMETERS angstrom
0.000 3.452 3.452
3.452 0.000 3.452
3.452 3.452 0.000
ATOMIC_POSITIONS crystal
Tl 0.000 0.000 0.000
Ag 0.250 0.250 0.250
Sb 0.500 0.500 0.500
```


9.
Material: Rb12Se3Br5
Method: DFT, PBE
State: relaxed Values from VASP.

Energy relative to the elements, uncorrected   -1248 meV per atom
Density   2.721 g/cm³
Total moment   0.000 μB/atom
Electronic total energy   -55.39 eV per formula unit
V   4057.37 Å³/cell

Cell and atoms, written as Quantum ESPRESSO input:
```
&SYSTEM
  ibrav = 0, nat = 80, ntyp = 3
/
ATOMIC_SPECIES
Rb 85.47 Rb.upf
Se 78.96 Se.upf
Br 79.90 Br.upf
CELL_PARAMETERS angstrom
-10.048 10.048 10.048
10.048 -10.048 10.048
10.048 10.048 -10.048
ATOMIC_POSITIONS crystal
Rb 0.057 0.229 0.139
Rb 0.057 0.329 0.918
Rb 0.082 0.639 0.411
Rb 0.082 0.943 0.671
Rb 0.089 0.729 0.671
Rb 0.089 0.861 0.418
Rb 0.139 0.057 0.229
Rb 0.139 0.582 0.911
Rb 0.171 0.229 0.589
Rb 0.171 0.443 0.582
Rb 0.229 0.139 0.057
Rb 0.229 0.589 0.171
Rb 0.271 0.329 0.911
Rb 0.271 0.443 0.361
Rb 0.329 0.911 0.271
Rb 0.329 0.918 0.057
Rb 0.361 0.271 0.443
Rb 0.361 0.589 0.918
Rb 0.411 0.082 0.639
Rb 0.411 0.829 0.771
Rb 0.418 0.089 0.861
Rb 0.418 0.829 0.557
Rb 0.443 0.361 0.271
Rb 0.443 0.582 0.171
Rb 0.557 0.418 0.829
Rb 0.557 0.639 0.729
Rb 0.582 0.171 0.443
Rb 0.582 0.911 0.139
Rb 0.589 0.171 0.229
Rb 0.589 0.918 0.361
Rb 0.639 0.411 0.082
Rb 0.639 0.729 0.557
Rb 0.671 0.082 0.943
Rb 0.671 0.089 0.729
Rb 0.729 0.557 0.639
Rb 0.729 0.671 0.089
Rb 0.771 0.411 0.829
Rb 0.771 0.861 0.943
Rb 0.829 0.557 0.418
Rb 0.829 0.771 0.411
Rb 0.861 0.418 0.089
Rb 0.861 0.943 0.771
Rb 0.911 0.139 0.582
Rb 0.911 0.271 0.329
Rb 0.918 0.057 0.329
Rb 0.918 0.361 0.589
Rb 0.943 0.671 0.082
Rb 0.943 0.771 0.861
Se 0.125 0.250 0.375
Se 0.125 0.375 0.750
Se 0.250 0.375 0.125
Se 0.250 0.875 0.625
Se 0.375 0.125 0.250
Se 0.375 0.750 0.125
Se 0.625 0.250 0.875
Se 0.625 0.875 0.750
Se 0.750 0.125 0.375
Se 0.750 0.625 0.875
Se 0.875 0.625 0.250
Se 0.875 0.750 0.625
Br 0.000 0.000 0.000
Br 0.000 0.000 0.500
Br 0.000 0.500 0.000
Br 0.000 0.500 0.500
Br 0.125 0.750 0.875
Br 0.125 0.875 0.250
Br 0.250 0.125 0.875
Br 0.250 0.625 0.375
Br 0.375 0.250 0.625
Br 0.375 0.625 0.750
Br 0.500 0.000 0.000
Br 0.500 0.000 0.500
Br 0.500 0.500 0.000
Br 0.500 0.500 0.500
Br 0.625 0.375 0.250
Br 0.625 0.750 0.375
Br 0.750 0.375 0.625
Br 0.750 0.875 0.125
Br 0.875 0.125 0.750
Br 0.875 0.250 0.125
```


10.
Material: Na3NbAg
Method: DFT, PBE
State: relaxed Values from VASP.

Energy of formation from the pure elements   1.330 eV/atom
Density   2.153 g/cm³
Distance to the lowest polymorph of the same formula   0.2754 eV per atom
Total moment   1.019 μB/atom
Electronic total energy   -10.23 eV per formula unit
V   208.05 Å³/cell

Cell and atoms, written as Quantum ESPRESSO input:
```
&SYSTEM
  ibrav = 0, nat = 5, ntyp = 3
/
ATOMIC_SPECIES
Na 22.99 Na.upf
Nb 92.91 Nb.upf
Ag 107.87 Ag.upf
CELL_PARAMETERS angstrom
5.925 0.000 0.000
0.000 5.925 0.000
0.000 0.000 5.925
ATOMIC_POSITIONS crystal
Na 0.000 0.000 0.500
Na 0.000 0.500 0.000
Na 0.500 0.000 0.000
Nb 0.000 0.000 0.000
Ag 0.500 0.500 0.500
```